a) First-principles (PBE) data for crystalline Ti4CrTe8 at its relaxed geometry, as listed in Alexandria via LeMat-Bulk.

Results
mass density	5.96	g/cm3

abc: 8.3051 8.3051 8.3051
angles: 54.43 54.43 54.43
Closest atoms and distances in Å follow each position.
Sites, in units of the cell vectors:
Te  0.7511  0.7511  0.2520  3 Ti 2.79-2.80, 1 Cr 2.83
Ti  0.0000  0.0000  0.0000  6 Te 2.80
Te  0.2489  0.2489  0.7480  3 Ti 2.79-2.80, 1 Cr 2.83
Ti  0.5000  0.0000  0.5000  6 Te 2.79
Ti  0.5000  0.5000  0.0000  6 Te 2.79
Te  0.7479  0.7479  0.7479  3 Ti 2.79
Te  0.2489  0.7480  0.2489  3 Ti 2.79-2.80, 1 Cr 2.83
Te  0.2520  0.7511  0.7511  3 Ti 2.79-2.80, 1 Cr 2.83
Te  0.7511  0.2520  0.7511  3 Ti 2.79-2.80, 1 Cr 2.83
Cr  0.5000  0.5000  0.5000  6 Te 2.83
Te  0.2521  0.2521  0.2521  3 Ti 2.79
Ti  0.0000  0.5000  0.5000  6 Te 2.79
Te  0.7480  0.2489  0.2489  3 Ti 2.79-2.80, 1 Cr 2.83

b) First-principles (PBE) data for crystalline Ti4CrTe8 at its relaxed geometry, as listed in Alexandria via LeMat-Bulk.

Results
mass density	6.32	g/cm3

abc: 7.5442 7.5442 9.2241
angles: 53.37 53.37 61.58
Closest atoms and distances in Å follow each position.
Sites, in units of the cell vectors:
Te  0.0414  0.5501  0.1710  1 Cr 2.75, 3 Ti 2.78-2.83
Te  0.5400  0.5400  0.6645  1 Cr 2.76, 3 Ti 2.81-2.84
Te  0.9586  0.4499  0.8290  1 Cr 2.75, 3 Ti 2.78-2.83
Cr  0.5000  0.5000  0.0000  6 Te 2.75-2.76
Ti  0.2448  0.2448  0.0137  6 Te 2.77-2.83
Te  0.9489  0.9489  0.3295  3 Ti 2.74-2.77
Te  0.0511  0.0511  0.6705  3 Ti 2.74-2.77
Ti  0.7710  0.2290  0.5000  6 Te 2.74-2.84
Te  0.5501  0.0414  0.1710  1 Cr 2.75, 3 Ti 2.78-2.83
Te  0.4600  0.4600  0.3355  1 Cr 2.76, 3 Ti 2.81-2.84
Ti  0.7552  0.7552  0.9863  6 Te 2.77-2.83
Te  0.4499  0.9586  0.8290  1 Cr 2.75, 3 Ti 2.78-2.83
Ti  0.2290  0.7710  0.5000  6 Te 2.74-2.84

Stability, highest: b)

a) First-principles (PBE) data for crystalline Tl2CrTe at its relaxed geometry, as listed in Alexandria via LeMat-Bulk.

Results
mass density	8.59	g/cm3

abc: 4.3101 4.3101 12.6224
angles: 80.17 80.17 90.00
Closest atoms and distances in Å follow each position.
Sites, in units of the cell vectors:
Tl  0.3750  0.3729  0.7500  4 Tl 3.03-3.06
Tl  0.8750  0.8771  0.7500  4 Tl 3.03-3.06
Cr  0.5000  0.5000  0.0000  4 Te 3.05
Te  0.7500  0.2500  0.5000  4 Cr 3.05
Te  0.0000  0.0000  0.0000  4 Cr 3.05
Tl  0.6271  0.1250  0.2500  4 Tl 3.03-3.06
Tl  0.1229  0.6250  0.2500  4 Tl 3.03-3.06
Cr  0.2500  0.7500  0.5000  4 Te 3.05

b) First-principles (PBE) data for crystalline Tl2CrTe at its relaxed geometry, as listed in Alexandria via LeMat-Bulk.

Results
mass density	8.68	g/cm3

abc: 4.3553 6.7693 4.2653
angles: 71.98 88.99 108.43
Closest atoms and distances in Å follow each position.
Sites, in units of the cell vectors:
Cr  0.0000  0.5000  0.5000  4 Te 3.02-3.07
Tl  0.5000  0.0000  0.5000  4 Tl 3.02-3.07
Tl  0.0000  0.0000  0.0000  4 Tl 3.02-3.07
Te  0.5000  0.5000  0.0000  4 Cr 3.02-3.07

c) First-principles (PBE) data for crystalline Tl2CrTe at its relaxed geometry, as listed in Alexandria via LeMat-Bulk.

Results
mass density	8.80	g/cm3

abc: 4.4022 4.3954 5.7346
angles: 90.00 90.00 90.00
Closest atoms and distances in Å follow each position.
Sites, in units of the cell vectors:
Cr  0.5000  0.0000  0.5000  4 Te 3.11
Tl  0.0000  0.0000  0.0000  4 Tl 3.11
Tl  0.5000  0.5000  0.0000  4 Tl 3.11
Te  0.0000  0.5000  0.5000  4 Cr 3.11

Stability, highest: b)

a) First-principles (PBE) data for crystalline TlCrTe at its relaxed geometry, as listed in Alexandria via LeMat-Bulk.

Results
mass density	8.20	g/cm3

abc: 3.6995 3.6995 13.3003
angles: 82.01 82.01 60.00
Closest atoms and distances in Å follow each position.
Sites, in units of the cell vectors:
Cr  0.3468  0.3468  0.9595  3 Cr 2.39, 4 Te 2.65-2.66
Te  0.7204  0.7204  0.8389  4 Cr 2.65-2.66
Te  0.2796  0.2796  0.1611  4 Cr 2.65-2.66
Cr  0.6532  0.6532  0.0405  3 Cr 2.39, 4 Te 2.65-2.66
Tl  0.1310  0.1310  0.6069  9 Tl 3.53-3.70, 3 Te 3.72
Tl  0.8690  0.8690  0.3931  9 Tl 3.53-3.70, 3 Te 3.72

b) First-principles (PBE) data for crystalline TlCrTe at its relaxed geometry, as listed in Alexandria via LeMat-Bulk.

Results
mass density	7.57	g/cm3

abc: 6.9246 6.9236 3.6189
angles: 74.87 74.84 30.30
Closest atoms and distances in Å follow each position.
Sites, in units of the cell vectors:
Te  0.3864  0.3864  0.6136  4 Cr 2.77
Tl  0.6450  0.6450  0.3550  1 Te 3.33, 4 Cr 3.42, 4 Tl 3.62
Cr  0.9685  0.9685  0.0315  4 Te 2.77

Stability, highest: a)

a) First-principles (PBE) data for crystalline TlCrTe at its relaxed geometry, as listed in Alexandria via LeMat-Bulk.

Results
mass density	8.25	g/cm3

abc: 3.5940 3.5940 11.9724
angles: 90.00 90.00 90.00
Closest atoms and distances in Å follow each position.
Sites, in units of the cell vectors:
Te  0.5000  0.0000  0.6599  4 Cr 2.63
Te  0.0000  0.5000  0.3401  4 Cr 2.63
Tl  0.5000  0.0000  0.0966  8 Tl 3.44-3.59
Cr  0.5000  0.5000  0.5000  4 Cr 2.54, 4 Te 2.63
Cr  0.0000  0.0000  0.5000  4 Cr 2.54, 4 Te 2.63
Tl  0.0000  0.5000  0.9034  8 Tl 3.44-3.59

b) First-principles (PBE) data for crystalline TlCrTe at its relaxed geometry, as listed in Alexandria via LeMat-Bulk.

Results
mass density	7.46	g/cm3

abc: 4.9452 4.9452 4.9452
angles: 60.00 60.00 60.00
Closest atoms and distances in Å follow each position.
Sites, in units of the cell vectors:
Tl  0.5000  0.5000  0.5000  4 Cr 3.03
Cr  0.7500  0.7500  0.7500  4 Te 3.03, 4 Tl 3.03
Te  0.0000  0.0000  0.0000  4 Cr 3.03

c) First-principles (PBE) data for crystalline TlCrTe at its relaxed geometry, as listed in Alexandria via LeMat-Bulk.

Results
mass density	6.86	g/cm3

abc: 4.6950 4.6950 4.8657
angles: 90.00 90.00 120.00
Closest atoms and distances in Å follow each position.
Sites, in units of the cell vectors:
Cr  0.0000  0.0000  0.1383  3 Te 2.72
Tl  0.3333  0.6667  0.6800  6 Cr 3.51-3.78, 6 Te 3.64-3.65
Te  0.6667  0.3333  0.1817  3 Cr 2.72

Stability, highest: a)

a) First-principles (PBE) data for crystalline VCr3Te at its relaxed geometry, as listed in Alexandria via LeMat-Bulk.

Results
mass density	5.77	g/cm3

abc: 4.5829 4.5829 4.5829
angles: 90.00 90.00 90.00
Closest atoms and distances in Å follow each position.
Sites, in units of the cell vectors:
Cr  0.0000  0.5000  0.0000  2 V 2.29
V  0.0000  0.0000  0.0000  6 Cr 2.29
Te  0.5000  0.5000  0.5000  12 Cr 3.24
Cr  0.5000  0.0000  0.0000  2 V 2.29
Cr  0.0000  0.0000  0.5000  2 V 2.29

b) First-principles (PBE) data for crystalline VCr3Te at its relaxed geometry, as listed in Alexandria via LeMat-Bulk.

Results
mass density	4.17	g/cm3

abc: 5.1083 5.1083 5.1083
angles: 90.00 90.00 90.00
Closest atoms and distances in Å follow each position.
Sites, in units of the cell vectors:
Cr  0.0000  0.0000  0.5000  2 Te 2.55
Cr  0.0000  0.5000  0.0000  2 Te 2.55
V  0.5000  0.5000  0.5000  12 Cr 3.61
Te  0.0000  0.0000  0.0000  6 Cr 2.55
Cr  0.5000  0.0000  0.0000  2 Te 2.55

Stability, highest: a)

a) First-principles (PBE) data for crystalline VCrTe2 at its relaxed geometry, as listed in Alexandria via LeMat-Bulk.

Results
mass density	6.07	g/cm3

abc: 9.0999 9.0999 9.0999
angles: 22.64 22.64 22.64
Closest atoms and distances in Å follow each position.
Sites, in units of the cell vectors:
Te  0.1021  0.1021  0.1021  3 V 2.68, 1 Cr 2.71
Te  0.8979  0.8979  0.8979  3 V 2.68, 1 Cr 2.71
Cr  0.0000  0.0000  0.0000  2 Te 2.71
V  0.5000  0.5000  0.5000  6 Te 2.68

b) First-principles (PBE) data for crystalline VCrTe2 at its relaxed geometry, as listed in Alexandria via LeMat-Bulk.

Results
mass density	7.62	g/cm3

abc: 4.7966 4.7966 4.7966
angles: 60.00 60.00 60.00
Closest atoms and distances in Å follow each position.
Sites, in units of the cell vectors:
Te  0.2500  0.2500  0.2500  4 Cr 2.94, 4 V 2.94
Cr  0.5000  0.5000  0.5000  8 Te 2.94
Te  0.7500  0.7500  0.7500  4 V 2.94, 4 Cr 2.94
V  0.0000  0.0000  0.0000  8 Te 2.94

Stability, highest: b)

a) First-principles (PBE) data for crystalline VCrTe3 at its relaxed geometry, as listed in Alexandria via LeMat-Bulk.

Results
mass density	6.07	g/cm3

abc: 3.6736 6.4840 11.9245
angles: 110.59 90.00 90.00
Closest atoms and distances in Å follow each position.
Sites, in units of the cell vectors:
Te  0.2500  0.2146  0.4540  1 V 2.61, 3 Cr 2.72-2.75
V  0.7500  0.8526  0.7748  5 Te 2.61-2.69
Te  0.2500  0.5527  0.7786  2 V 2.69, 1 Cr 2.77
Te  0.2500  0.1393  0.8973  2 V 2.66, 1 Cr 2.80
Te  0.7500  0.4473  0.2214  2 V 2.69, 1 Cr 2.77
V  0.2500  0.1474  0.2252  5 Te 2.61-2.69
Te  0.7500  0.7854  0.5460  1 V 2.61, 3 Cr 2.72-2.75
Cr  0.7500  0.8980  0.3440  5 Te 2.72-2.80
Cr  0.2500  0.1020  0.6560  5 Te 2.72-2.80
Te  0.7500  0.8607  0.1027  2 V 2.66, 1 Cr 2.80

b) First-principles (PBE) data for crystalline VCrTe3 at its relaxed geometry, as listed in Alexandria via LeMat-Bulk.

Results
mass density	5.72	g/cm3

abc: 5.2048 5.2048 5.2048
angles: 90.00 90.00 90.00
Closest atoms and distances in Å follow each position.
Sites, in units of the cell vectors:
Te  0.0000  0.0000  0.5000  2 Cr 2.60
Cr  0.0000  0.0000  0.0000  6 Te 2.60
V  0.5000  0.5000  0.5000  12 Te 3.68
Te  0.5000  0.0000  0.0000  2 Cr 2.60
Te  0.0000  0.5000  0.0000  2 Cr 2.60

c) First-principles (PBE) data for crystalline VCrTe3 at its relaxed geometry, as listed in Alexandria via LeMat-Bulk.

Results
mass density	5.57	g/cm3

abc: 5.2517 5.2517 5.2517
angles: 90.00 90.00 90.00
Closest atoms and distances in Å follow each position.
Sites, in units of the cell vectors:
V  0.0000  0.0000  0.0000  6 Te 2.63
Te  0.0000  0.5000  0.0000  2 V 2.63
Te  0.0000  0.0000  0.5000  2 V 2.63
Te  0.5000  0.0000  0.0000  2 V 2.63
Cr  0.5000  0.5000  0.5000  12 Te 3.71

Stability, highest: a)

a) First-principles (PBE) data for crystalline CrTe2W at its relaxed geometry, as listed in Alexandria via LeMat-Bulk.

Results
mass density	9.63	g/cm3

abc: 4.5482 4.5482 5.8807
angles: 80.54 80.54 45.03
Closest atoms and distances in Å follow each position.
Sites, in units of the cell vectors:
Te  0.0193  0.0193  0.9826  1 Cr 2.70, 3 W 2.78-2.84
W  0.7500  0.7500  0.7500  6 Te 2.78-2.84
Te  0.4807  0.4807  0.5174  1 Cr 2.70, 3 W 2.78-2.84
Cr  0.2500  0.2500  0.2500  2 Te 2.70

b) First-principles (PBE) data for crystalline CrTe2W at its relaxed geometry, as listed in Alexandria via LeMat-Bulk.

Results
mass density	10.28	g/cm3

abc: 3.3947 3.3951 6.8830
angles: 90.00 90.00 90.00
Closest atoms and distances in Å follow each position.
Sites, in units of the cell vectors:
Te  0.0000  0.0000  0.0096  4 W 2.92, 4 Cr 2.99
W  0.5000  0.5000  0.2500  8 Te 2.92
Te  0.0000  0.0000  0.4904  4 W 2.92, 4 Cr 2.99
Cr  0.5000  0.5000  0.7500  8 Te 2.99

c) First-principles (PBE) data for crystalline CrTe2W at its relaxed geometry, as listed in Alexandria via LeMat-Bulk.

Results
mass density	10.00	g/cm3

abc: 5.7761 5.7761 5.7761
angles: 139.19 139.19 59.09
Closest atoms and distances in Å follow each position.
Sites, in units of the cell vectors:
Cr  0.7500  0.2500  0.5000  4 Te 2.85
W  0.5000  0.5000  0.0000  4 Te 2.85
Te  0.0000  0.0000  0.0000  4 W 2.85
Te  0.2500  0.7500  0.5000  4 Cr 2.85

d) First-principles (PBE) data for crystalline CrTe2W at its relaxed geometry, as listed in Alexandria via LeMat-Bulk.

Results
mass density	8.61	g/cm3

abc: 10.3589 10.3589 10.3589
angles: 18.20 18.20 18.20
Closest atoms and distances in Å follow each position.
Sites, in units of the cell vectors:
W  0.5101  0.5101  0.5101  3 Cr 2.71, 3 Te 2.73
Te  0.7791  0.7791  0.7791  3 W 2.73
Cr  0.2404  0.2404  0.2404  3 Te 2.71, 3 W 2.71
Te  0.9705  0.9705  0.9705  3 Cr 2.71

Stability, highest: d)

a) First-principles (PBE) data for crystalline CrTe3W at its relaxed geometry, as listed in Alexandria via LeMat-Bulk.

Results
mass density	7.17	g/cm3

abc: 5.2338 5.2338 5.2338
angles: 90.00 90.00 90.00
Closest atoms and distances in Å follow each position.
Sites, in units of the cell vectors:
Cr  0.5000  0.5000  0.5000  12 Te 3.70
W  0.0000  0.0000  0.0000  6 Te 2.62
Te  0.0000  0.0000  0.5000  2 W 2.62
Te  0.5000  0.0000  0.0000  2 W 2.62
Te  0.0000  0.5000  0.0000  2 W 2.62

b) First-principles (PBE) data for crystalline CrTe3W at its relaxed geometry, as listed in Alexandria via LeMat-Bulk.

Results
mass density	7.69	g/cm3

abc: 5.1124 5.1124 5.1124
angles: 90.00 90.00 90.00
Closest atoms and distances in Å follow each position.
Sites, in units of the cell vectors:
Te  0.0000  0.5000  0.0000  2 Cr 2.56
W  0.5000  0.5000  0.5000  12 Te 3.61
Cr  0.0000  0.0000  0.0000  6 Te 2.56
Te  0.5000  0.0000  0.0000  2 Cr 2.56
Te  0.0000  0.0000  0.5000  2 Cr 2.56

Stability, highest: b)

a) First-principles (PBE) data for crystalline YCrTe2 at its relaxed geometry, as listed in Alexandria via LeMat-Bulk.

Results
mass density	5.98	g/cm3

abc: 4.2519 4.2551 6.0766
angles: 90.00 90.00 90.00
Closest atoms and distances in Å follow each position.
Sites, in units of the cell vectors:
Te  0.0000  0.0000  0.8979  2 Y 2.94-3.14, 4 Cr 3.03
Y  0.0000  0.0000  0.4140  6 Te 2.94-3.14
Cr  0.5000  0.5000  0.8383  6 Te 2.97-3.11
Te  0.5000  0.5000  0.3497  2 Cr 2.97-3.11, 4 Y 3.03

b) First-principles (PBE) data for crystalline YCrTe2 at its relaxed geometry, as listed in Alexandria via LeMat-Bulk.

Results
mass density	7.28	g/cm3

abc: 5.0369 5.0369 5.0369
angles: 60.00 60.00 60.00
Closest atoms and distances in Å follow each position.
Sites, in units of the cell vectors:
Cr  0.0000  0.0000  0.0000  8 Te 3.08
Te  0.2500  0.2500  0.2500  4 Cr 3.08, 4 Y 3.08
Y  0.5000  0.5000  0.5000  8 Te 3.08
Te  0.7500  0.7500  0.7500  4 Cr 3.08, 4 Y 3.08

Stability, highest: a)

a) First-principles (PBE) data for crystalline YCrTe2 at its relaxed geometry, as listed in Alexandria via LeMat-Bulk.

Results
mass density	5.93	g/cm3

abc: 6.9759 6.9759 4.1298
angles: 89.99 89.99 33.51
Closest atoms and distances in Å follow each position.
Sites, in units of the cell vectors:
Te  0.0362  0.0362  0.1247  1 Cr 2.81, 4 Y 3.11
Y  0.4491  0.4491  0.6247  6 Te 3.11-3.15, 2 Cr 3.40
Cr  0.2466  0.2466  0.1253  5 Te 2.81-2.90
Te  0.7681  0.7681  0.6253  4 Cr 2.90, 2 Y 3.15

b) First-principles (PBE) data for crystalline YCrTe2 at its relaxed geometry, as listed in Alexandria via LeMat-Bulk.

Results
mass density	4.34	g/cm3

abc: 9.1180 9.1180 9.1180
angles: 28.40 28.40 28.40
Closest atoms and distances in Å follow each position.
Sites, in units of the cell vectors:
Y  0.5000  0.5000  0.5000  6 Te 3.09
Te  0.8981  0.8981  0.8981  1 Cr 2.67
Te  0.1019  0.1019  0.1019  1 Cr 2.67
Cr  0.0000  0.0000  0.0000  2 Te 2.67

c) First-principles (PBE) data for crystalline YCrTe2 at its relaxed geometry, as listed in Alexandria via LeMat-Bulk.

Results
mass density	6.31	g/cm3

abc: 5.3808 5.3808 5.3808
angles: 129.51 114.60 86.99
Closest atoms and distances in Å follow each position.
Sites, in units of the cell vectors:
Te  0.0306  0.0306  0.0000  2 Cr 2.86, 2 Y 3.17
Y  0.7500  0.2500  0.5000  8 Te 3.17-3.37
Cr  0.2500  0.7500  0.5000  4 Te 2.86
Te  0.4694  0.4694  0.0000  2 Cr 2.86, 2 Y 3.17

Stability, highest: a)